# 1
! AlInRu2 | Alexandria via LeMat-Bulk | PBE | relaxed; values from VASP
&SYSTEM
  ibrav = 0, nat = 4, ntyp = 3
/
ATOMIC_SPECIES
Al 26.98 Al.upf
In 114.82 In.upf
Ru 101.07 Ru.upf
ATOMIC_POSITIONS crystal
Al 0.000 0.000 0.000
In 0.500 0.500 0.500
Ru 0.263 0.263 0.789
Ru 0.737 0.737 0.211
CELL_PARAMETERS angstrom
4.219 -1.491 0.000
4.219 1.491 0.000
-1.192 0.000 5.091
! crystal system	monoclinic
! energy relative to the elements	-0.08	eV per atom
! space group	C2/m

# 2
! AlInRu2 | Alexandria via LeMat-Bulk | PBE | relaxed; values from VASP
&SYSTEM
  ibrav = 0, nat = 4, ntyp = 3
/
ATOMIC_SPECIES
Al 26.98 Al.upf
In 114.82 In.upf
Ru 101.07 Ru.upf
ATOMIC_POSITIONS crystal
Al 0.000 0.000 0.000
In 0.500 0.500 0.323
Ru 0.000 0.000 0.584
Ru 0.500 0.500 0.789
CELL_PARAMETERS angstrom
2.867 0.000 0.000
0.000 2.867 0.000
0.000 0.000 8.074
! crystal system	tetragonal
! energy relative to the elements	-0.02	eV per atom
! space group	P4mm

# 3
! AlIn2Ru | Alexandria via LeMat-Bulk | PBE | relaxed; values from VASP
&SYSTEM
  ibrav = 0, nat = 8, ntyp = 3
/
ATOMIC_SPECIES
Al 26.98 Al.upf
In 114.82 In.upf
Ru 101.07 Ru.upf
ATOMIC_POSITIONS crystal
Al 0.375 0.625 0.750
Al 0.625 0.375 0.250
In 0.000 0.000 0.000
In 0.000 0.000 0.500
In 0.000 0.500 0.000
In 0.500 0.000 0.500
Ru 0.125 0.875 0.250
Ru 0.875 0.125 0.750
CELL_PARAMETERS angstrom
-5.077 5.077 2.360
5.077 -5.077 2.360
5.077 5.077 -2.360
! crystal system	tetragonal
! energy relative to the elements	0.07	eV per atom
! space group	I4_1/amd

# 4
! Sc5AlIn2Ru2 | Alexandria via LeMat-Bulk | PBE | relaxed; values from VASP
&SYSTEM
  ibrav = 0, nat = 20, ntyp = 4
/
ATOMIC_SPECIES
Sc 44.96 Sc.upf
Al 26.98 Al.upf
In 114.82 In.upf
Ru 101.07 Ru.upf
ATOMIC_POSITIONS crystal
Sc 0.000 0.500 0.000
Sc 0.073 0.202 0.000
Sc 0.202 0.927 0.000
Sc 0.298 0.427 0.000
Sc 0.427 0.702 0.000
Sc 0.500 0.000 0.000
Sc 0.573 0.298 0.000
Sc 0.702 0.573 0.000
Sc 0.798 0.073 0.000
Sc 0.927 0.798 0.000
Al 0.000 0.000 0.500
Al 0.500 0.500 0.500
In 0.175 0.675 0.500
In 0.325 0.175 0.500
In 0.675 0.825 0.500
In 0.825 0.325 0.500
Ru 0.132 0.368 0.500
Ru 0.368 0.868 0.500
Ru 0.632 0.132 0.500
Ru 0.868 0.632 0.500
CELL_PARAMETERS angstrom
11.200 0.000 0.000
0.000 11.200 0.000
0.000 0.000 3.341
! crystal system	tetragonal
! energy relative to the elements	-0.38	eV per atom
! space group	P4/mbm

Q: Number 1 is which compound?
A: AlInRu2